Computed, not measured: CuAgRh after structural relaxation at the GGA-PBE level of DFT.

The formation energy comes out at 7 kJ/mol of atoms. For the density of states at the Fermi level, the calculation gives 5.0 states/eV/cell. As for the size of the total moment: 0.0 μB/cell. The value obtained for the uncorrected energy is -4.693 eV/atom. Its space group is P4/nmm (129).

```
CuAgRh
1.0
2.781 0.000 0.000
0.000 2.781 0.000
0.000 0.000 11.449
Cu Ag Rh
2 2 2
Cartesian
0.695 0.695 2.679
2.086 2.086 8.769
0.695 0.695 6.841
2.086 2.086 4.608
0.695 0.695 10.557
2.086 2.086 0.892
```